Compound: RbNbTe2I
Source: Alexandria via LeMat-Bulk
Functional: PBE-GGA
Structure: relaxed

Cell: 5.473 5.473 6.124 Å, 90.00 90.00 90.00°
Sites, in units of the cell vectors:
Rb 0.000 0.000 0.000
Nb 0.500 0.500 0.500
Te 0.000 0.500 0.500
Te 0.500 0.000 0.500
I 0.500 0.500 0.000

## Properties
- crystal system = tetragonal
- excess energy over the best structure of this formula in the dataset (eV per formula unit) = 0.00
- space group = P4/mmm, No. 123
- formation energy from raw total energies (eV/atom) = -0.471
- magnetic moment (μB/atom) = 0.20


Compound: RbNbTe2I
Source: Alexandria via LeMat-Bulk
Functional: PBE-GGA
Structure: relaxed

Cell: 6.315 6.315 6.303 Å, 90.00 90.00 90.00°
Sites, in units of the cell vectors:
Rb 0.000 0.000 0.000
Nb 0.500 0.500 0.500
Te 0.000 0.500 0.000
Te 0.500 0.000 0.000
I 0.000 0.000 0.500

## Properties
- crystal system = tetragonal
- excess energy over the best structure of this formula in the dataset (eV per formula unit) = 9.11
- space group = P4/mmm, No. 123
- formation energy from raw total energies (eV/atom) = 1.352
- magnetic moment (μB/atom) = 0.21


Compound: RbNbTl2I8
Source: Alexandria via LeMat-Bulk
Functional: PBE-GGA
Structure: relaxed

Cell: 7.201 8.269 10.246 Å, 90.04 90.02 110.77°
Sites, in units of the cell vectors:
Rb 0.000 0.000 0.000
Nb 0.000 0.000 0.500
Tl 0.003 0.501 0.235
Tl 0.997 0.499 0.765
I 0.233 0.796 0.501
I 0.244 0.214 0.691
I 0.246 0.213 0.309
I 0.292 0.716 0.999
I 0.708 0.284 0.001
I 0.754 0.787 0.691
I 0.756 0.786 0.309
I 0.767 0.204 0.499

## Properties
- crystal system = triclinic
- space group = P-1, No. 2
- formation energy from raw total energies (eV/atom) = -0.652
- magnetic moment (μB/atom) = 0.01


Compound: RbNbTlI6
Source: Alexandria via LeMat-Bulk
Functional: PBE-GGA
Structure: relaxed

Cell: 8.388 8.388 14.686 Å, 90.00 90.00 120.00°
Sites, in units of the cell vectors:
Rb 0.000 0.000 0.000
Rb 0.000 0.000 0.500
Nb 0.333 0.667 0.250
Nb 0.667 0.333 0.750
Tl 0.333 0.667 0.750
Tl 0.667 0.333 0.250
I 0.055 0.396 0.139
I 0.055 0.659 0.361
I 0.341 0.396 0.361
I 0.341 0.945 0.139
I 0.396 0.055 0.639
I 0.396 0.341 0.861
I 0.604 0.659 0.139
I 0.604 0.945 0.361
I 0.659 0.055 0.861
I 0.659 0.604 0.639
I 0.945 0.341 0.639
I 0.945 0.604 0.861

## Properties
- crystal system = trigonal
- space group = P-31c, No. 163
- formation energy from raw total energies (eV/atom) = -0.697
- magnetic moment (μB/atom) = 0.11